[1]
The following is a DFT calculation (PBE) of a geometry-optimized NaMgGeO4 structure.

Cell and atoms, written as extended XYZ:
```
7
Lattice="5.011 0.000 0.000 0.000 5.011 0.000 -2.506 -2.506 4.620" Properties=species:S:1:pos:R:3 pbc="T T T"
O 0.740 1.271 3.630
O 3.777 1.766 0.990
O -0.740 -1.271 3.630
Na 0.000 0.000 0.000
Ge 2.506 2.506 0.000
Mg 0.000 2.506 2.310
O 1.235 3.246 0.990
```

Summary:
Crystal system ... tetragonal
SG ... I-4, No. 82
Uncorrected formation energy ... -163.63 kJ/mol of atoms

=====

[2]
The following is a DFT calculation (PBE) of a geometry-optimized Sm2Al3Cu structure.

Cell and atoms, written as extended XYZ:
```
12
Lattice="-2.808 -5.046 -0.897 2.684 -1.915 -4.825 5.335 -0.237 7.270" Properties=species:S:1:pos:R:3 pbc="T T T"
Cu 3.504 -2.471 2.930
Sm -1.405 -4.247 -1.900
Sm 1.232 -4.382 1.756
Al 0.866 -2.402 -0.704
Al 4.406 -1.373 5.065
Al 4.345 -4.796 2.252
Al 3.423 -5.938 0.054
Al 0.805 -5.825 -3.517
Cu 1.706 -4.728 -1.382
Sm 3.978 -2.817 -0.208
Al 1.787 -1.260 1.495
Sm 1.281 -2.715 -3.822
```

Summary:
Calculated total energy ... -4.5505 eV per atom
Crystal system ... orthorhombic
SG ... Fmmm, No. 69